Entry 1:
The following is a GGA-PBE calculation of Ac12Ga6Ni after structural relaxation, from Alexandria via LeMat-Bulk.

Unit cell a=9.139 b=9.139 c=9.139 alpha=99.46 beta=99.46 gamma=99.46
Positions (direct):
Ac (0.032, 0.930, 0.684)
Ac (0.070, 0.316, 0.968)
Ac (0.185, 0.570, 0.427)
Ac (0.316, 0.968, 0.070)
Ac (0.427, 0.185, 0.570)
Ac (0.430, 0.573, 0.815)
Ac (0.570, 0.427, 0.185)
Ac (0.573, 0.815, 0.430)
Ac (0.684, 0.032, 0.930)
Ac (0.815, 0.430, 0.573)
Ac (0.930, 0.684, 0.032)
Ac (0.968, 0.070, 0.316)
Ga (0.130, 0.303, 0.630)
Ga (0.303, 0.630, 0.130)
Ga (0.370, 0.870, 0.697)
Ga (0.630, 0.130, 0.303)
Ga (0.697, 0.370, 0.870)
Ga (0.870, 0.697, 0.370)
Ni (0.000, 0.000, 0.000)

Output
**Calculated volume**: 728.1 Å³ per cell
**Density of states at the Fermi level**: 1.3852 states/eV per atom
**Energy of formation from the pure elements**: -3.315 eV per formula unit

---

Entry 2:
The following is a GGA-PBE calculation of PaOsPt2 after structural relaxation, from Alexandria via LeMat-Bulk.

Unit cell a=4.056 b=4.056 c=4.278 alpha=90.00 beta=90.00 gamma=90.00
Positions (direct):
Pa (0.000, 0.000, 0.000)
Os (0.500, 0.500, 0.000)
Pt (0.000, 0.500, 0.500)
Pt (0.500, 0.000, 0.500)

Output
**Calculated volume**: 70.4 Å³ per cell
**Density of states at the Fermi level**: 0.8789 states/eV per atom
**Energy of formation from the pure elements**: -2.977 eV per formula unit

---

Entry 3:
The following is a GGA-PBE calculation of ZrBeRe after structural relaxation, from Alexandria via LeMat-Bulk.

Unit cell a=4.091 b=4.091 c=4.091 alpha=60.00 beta=60.00 gamma=60.00
Positions (direct):
Zr (0.000, 0.000, 0.000)
Be (0.250, 0.250, 0.250)
Re (0.500, 0.500, 0.500)

Output
**Energy above the most stable polymorph in this dataset**: 0.501 eV/atom
**Calculated volume**: 48.4 Å³ per cell
**Density of states at the Fermi level**: 0.8588 states/eV per atom
**Energy of formation from the pure elements**: 0.680 eV per formula unit

---

Entry 4:
The following is a GGA-PBE calculation of Sn2PdPt after structural relaxation, from Alexandria via LeMat-Bulk.

Unit cell a=4.767 b=4.767 c=4.767 alpha=60.00 beta=60.00 gamma=60.00
Positions (direct):
Sn (0.250, 0.250, 0.250)
Sn (0.750, 0.750, 0.750)
Pd (0.000, 0.000, 0.000)
Pt (0.500, 0.500, 0.500)

Output
**Energy above the most stable polymorph in this dataset**: 0.157 eV/atom
**Calculated volume**: 76.6 Å³ per cell
**Density of states at the Fermi level**: 0.5109 states/eV per atom
**Energy of formation from the pure elements**: -1.285 eV per formula unit

---

Entry 5:
The following is a GGA-PBE calculation of BaGaSiPt6 after structural relaxation, from Alexandria via LeMat-Bulk.

Unit cell a=8.139 b=8.139 c=8.139 alpha=123.57 beta=116.72 gamma=89.85
Positions (direct):
Ba (0.396, 0.146, 0.250)
Ba (0.604, 0.854, 0.750)
Ga (0.000, 0.000, 0.500)
Ga (0.000, 0.500, 0.000)
Si (0.000, 0.500, 0.500)
Si (0.500, 0.500, 0.000)
Pt (0.105, 0.383, 0.243)
Pt (0.105, 0.862, 0.722)
Pt (0.131, 0.881, 0.250)
Pt (0.340, 0.590, 0.750)
Pt (0.360, 0.138, 0.743)
Pt (0.360, 0.617, 0.222)
Pt (0.640, 0.383, 0.778)
Pt (0.640, 0.862, 0.257)
Pt (0.660, 0.410, 0.250)
Pt (0.869, 0.119, 0.750)
Pt (0.895, 0.138, 0.278)
Pt (0.895, 0.617, 0.757)

Output
**Calculated volume**: 378.7 Å³ per cell
**Density of states at the Fermi level**: 0.2357 states/eV per atom

---

Entry 6:
The following is a GGA-PBE calculation of In2TcIr after structural relaxation, from Alexandria via LeMat-Bulk.

Unit cell a=8.994 b=8.994 c=8.994 alpha=19.48 beta=19.48 gamma=19.48
Positions (direct):
In (0.249, 0.249, 0.249)
In (0.751, 0.751, 0.751)
Tc (0.000, 0.000, 0.000)
Ir (0.500, 0.500, 0.500)

Output
**Energy above the most stable polymorph in this dataset**: 0.257 eV/atom
**Calculated volume**: 70.7 Å³ per cell
**Density of states at the Fermi level**: 0.8669 states/eV per atom
**Energy of formation from the pure elements**: 1.139 eV per formula unit

---

Entry 7:
The following is a GGA-PBE calculation of Sr6CdIn after structural relaxation, from Alexandria via LeMat-Bulk.

Unit cell a=11.076 b=11.076 c=11.076 alpha=149.29 beta=149.29 gamma=43.98
Positions (direct):
Sr (0.095, 0.595, 0.500)
Sr (0.249, 0.249, 0.000)
Sr (0.405, 0.905, 0.500)
Sr (0.595, 0.095, 0.500)
Sr (0.751, 0.751, 0.000)
Sr (0.905, 0.405, 0.500)
Cd (0.500, 0.500, 0.000)
In (0.000, 0.000, 0.000)

Output
**Calculated volume**: 353.3 Å³ per cell
**Density of states at the Fermi level**: 0.7577 states/eV per atom
**Energy of formation from the pure elements**: -1.618 eV per formula unit

---

Entry 8:
The following is a GGA-PBE calculation of GaNi6As after structural relaxation, from Alexandria via LeMat-Bulk.

Unit cell a=3.579 b=3.579 c=7.180 alpha=90.00 beta=90.00 gamma=90.00
Positions (direct):
Ga (0.000, 0.000, 0.000)
Ni (0.000, 0.500, 0.252)
Ni (0.000, 0.500, 0.748)
Ni (0.500, 0.000, 0.252)
Ni (0.500, 0.000, 0.748)
Ni (0.500, 0.500, 0.000)
Ni (0.500, 0.500, 0.500)
As (0.000, 0.000, 0.500)

Output
**Calculated volume**: 92.0 Å³ per cell
**Density of states at the Fermi level**: 0.8356 states/eV per atom
**Energy of formation from the pure elements**: -2.040 eV per formula unit

---

Entry 9:
The following is a GGA-PBE calculation of Sr2Al5Zn3 after structural relaxation, from Alexandria via LeMat-Bulk.

Unit cell a=8.886 b=8.886 c=8.886 alpha=101.32 beta=92.42 gamma=139.60
Positions (direct):
Sr (0.126, 0.246, 0.372)
Sr (0.374, 0.746, 0.121)
Sr (0.626, 0.254, 0.879)
Sr (0.874, 0.754, 0.628)
Al (0.007, 0.750, 0.257)
Al (0.125, 0.868, 0.992)
Al (0.250, 0.750, 0.500)
Al (0.375, 0.368, 0.743)
Al (0.493, 0.750, 0.743)
Al (0.507, 0.250, 0.257)
Al (0.625, 0.632, 0.257)
Al (0.750, 0.250, 0.500)
Al (0.875, 0.132, 0.008)
Al (0.993, 0.250, 0.743)
Zn (0.122, 0.639, 0.760)
Zn (0.250, 0.250, 0.000)
Zn (0.378, 0.139, 0.517)
Zn (0.622, 0.861, 0.483)
Zn (0.750, 0.750, 0.000)
Zn (0.878, 0.361, 0.240)

Output
**Energy above the most stable polymorph in this dataset**: 0.000 eV/atom
**Calculated volume**: 425.1 Å³ per cell
**Density of states at the Fermi level**: 0.3357 states/eV per atom
**Energy of formation from the pure elements**: -2.684 eV per formula unit

---

Entry 10:
The following is a GGA-PBE calculation of ReSiPb2 after structural relaxation, from Alexandria via LeMat-Bulk.

Unit cell a=3.261 b=3.261 c=8.425 alpha=90.00 beta=90.00 gamma=90.00
Positions (direct):
Re (0.000, 0.000, 0.000)
Si (0.500, 0.500, 0.108)
Pb (0.000, 0.000, 0.369)
Pb (0.500, 0.500, 0.746)

Output
**Calculated volume**: 89.6 Å³ per cell
**Density of states at the Fermi level**: 0.8208 states/eV per atom

---

Entry 11:
The following is a GGA-PBE calculation of BeTcMo2 after structural relaxation, from Alexandria via LeMat-Bulk.

Unit cell a=5.563 b=5.563 c=5.563 alpha=99.67 beta=99.67 gamma=131.62
Positions (direct):
Be (0.000, 0.000, 0.000)
Be (0.750, 0.250, 0.500)
Tc (0.250, 0.750, 0.500)
Tc (0.500, 0.500, 0.000)
Mo (0.043, 0.625, 0.918)
Mo (0.375, 0.293, 0.418)
Mo (0.707, 0.125, 0.082)
Mo (0.875, 0.957, 0.582)

Output
**Calculated volume**: 117.4 Å³ per cell
**Density of states at the Fermi level**: 1.1829 states/eV per atom
**Energy of formation from the pure elements**: 2.615 eV per formula unit

---

Entry 12:
The following is a GGA-PBE calculation of NdSmAlCu after structural relaxation, from Alexandria via LeMat-Bulk.

Unit cell a=5.182 b=5.182 c=5.182 alpha=60.00 beta=60.00 gamma=60.00
Positions (direct):
Nd (0.000, 0.000, 0.000)
Sm (0.500, 0.500, 0.500)
Al (0.750, 0.750, 0.750)
Cu (0.250, 0.250, 0.250)

Output
**Calculated volume**: 98.4 Å³ per cell
**Density of states at the Fermi level**: 1.2113 states/eV per atom
**Energy of formation from the pure elements**: -0.868 eV per formula unit

---

Entry 13:
The following is a GGA-PBE calculation of Rb2PtCl after structural relaxation, from Alexandria via LeMat-Bulk.

Unit cell a=5.832 b=5.832 c=5.832 alpha=60.00 beta=60.00 gamma=60.00
Positions (direct):
Rb (0.250, 0.250, 0.250)
Rb (0.750, 0.750, 0.750)
Pt (0.000, 0.000, 0.000)
Cl (0.500, 0.500, 0.500)

Output
**Energy above the most stable polymorph in this dataset**: 0.000 eV/atom
**Calculated volume**: 140.3 Å³ per cell
**Density of states at the Fermi level**: 4.8569 states/eV per atom

---

DFT total energy values, unit hartree per atom, following the record order: -0.148, -0.329, -0.295, -0.189, -0.204, -0.216, -0.071, -0.204, -0.105, -0.224, -0.304, -0.167, -0.105.
Calculated density values, unit g cm⁻³, following the record order: 7.30, 19.15, 9.83, 11.69, 12.33, 12.21, 3.54, 8.97, 3.96, 11.65, 8.46, 6.50, 4.75.